Below is a relaxed SrCaCu2H6 crystal, with properties calculated at the PBE level.

Cell lengths 6.6009, 6.6009, 5.8572 Å; angles 100.39, 100.39, 96.24 degrees
Last column: nearest neighbours and their distance in Å.
Element x y z (fractional)
Sr  0.1657  0.8343  0.2500  8 H 2.50-2.74
Sr  0.8343  0.1657  0.7500  8 H 2.50-2.74
Ca  0.5983  0.4017  0.2500  6 H 2.19-2.31
Ca  0.4017  0.5983  0.7500  6 H 2.19-2.31
Cu  0.3171  0.1279  0.7875  3 H 1.61-1.73
Cu  0.8721  0.6829  0.7125  3 H 1.61-1.73
Cu  0.6829  0.8721  0.2125  3 H 1.61-1.73
Cu  0.1279  0.3171  0.2875  3 H 1.61-1.73
H  0.9141  0.3809  0.1612  1 Cu 1.61
H  0.6191  0.0859  0.3388  1 Cu 1.61
H  0.0859  0.6191  0.8388  1 Cu 1.61
H  0.3809  0.9141  0.6612  1 Cu 1.61
H  0.2013  0.1659  0.0319  2 Cu 1.73-1.82
H  0.8341  0.7987  0.4681  2 Cu 1.73-1.82
H  0.7987  0.8341  0.9681  2 Cu 1.73-1.82
H  0.1659  0.2013  0.5319  2 Cu 1.73-1.82
H  0.3072  0.5205  0.3628  1 Cu 1.63
H  0.4795  0.6928  0.1372  1 Cu 1.63
H  0.6928  0.4795  0.6372  1 Cu 1.63
H  0.5205  0.3072  0.8628  1 Cu 1.63

- Volume: 244.3 Å³/cell
- Crystal system: monoclinic
- Electronic total energy: -70.236 eV for the cell shown

***

Below is a relaxed SmAuN crystal, with properties calculated at the PBE level.

Cell lengths 3.5521, 3.5521, 8.1952 Å; angles 90.00, 89.99, 90.00 degrees
Last column: nearest neighbours and their distance in Å.
Element x y z (fractional)
Sm  0.2499  0.2500  0.3437  5 N 2.36-2.52
Sm  0.7501  0.7500  0.6563  5 N 2.36-2.52
Au  0.2501  0.2500  0.9151  1 N 2.33
Au  0.7499  0.7500  0.0849  1 N 2.33
N  0.7503  0.7501  0.3688  1 Au 2.33, 5 Sm 2.36-2.52
N  0.2497  0.2499  0.6312  1 Au 2.33, 5 Sm 2.36-2.52

- Volume: 103.4 Å³/cell
- Fermi-level density of states: 0.214 states/eV per atom
- Crystal system: tetragonal
- Formation energy (no corrections): -0.924 eV/atom
- Electronic total energy: -38.189 eV for the cell shown
- E above lowest polymorph: 0 meV/atom